HfTlRu2O: optimized geometry, GGA-PBE.

Results
SG = No. 123
Raw formation energy = 166 meV per atom

Cell and atoms, written as POSCAR:
```
HfTlRu2O
1.0
4.121 0.000 0.000
0.000 4.121 0.000
0.000 0.000 4.826
Hf Tl Ru O
1 1 2 1
Direct
0.000 0.000 0.000
0.500 0.500 0.000
0.000 0.500 0.500
0.500 0.000 0.500
0.500 0.500 0.500
```

HfTlRuO6: optimized geometry, GGA-PBE.

Results
SG = No. 149
Raw formation energy = -1616 meV per atom

Cell and atoms, written as POSCAR:
```
HfTlRuO6
1.0
5.329 0.000 0.000
-2.665 4.615 0.000
0.000 0.000 4.812
Hf Tl Ru O
1 1 1 6
Direct
0.000 0.000 0.000
0.667 0.333 0.500
0.333 0.667 0.000
0.034 0.347 0.227
0.034 0.687 0.773
0.313 0.347 0.773
0.313 0.966 0.227
0.653 0.687 0.227
0.653 0.966 0.773
```

Per-record Fermi-level density of states, states/eV/cell: 4.42; 2.95